No. 1
The following is a DFT calculation (PBE) of Zn2POs after structural relaxation.

## Properties
The space group is I-42d.

Unit cell a=7.3078 b=7.3078 c=5.6667 alpha=49.85 beta=49.85 gamma=90.00
Element x y z (fractional)
P (0.5000, 0.5000, 0.0000)
P (0.2500, 0.7500, 0.5000)
Zn (0.6003, 0.1250, 0.2500)
Zn (0.1497, 0.6250, 0.2500)
Zn (0.3750, 0.3997, 0.7500)
Zn (0.8750, 0.8503, 0.7500)
Os (0.0000, 0.0000, 0.0000)
Os (0.7500, 0.2500, 0.5000)

=====

No. 2
The following is a DFT calculation (PBE) of ZnPOs2 after structural relaxation.

## Properties
The space group is R3m. As for the excess energy over the best structure of this formula in the dataset: 0.28 eV per formula unit.

Unit cell a=8.3460 b=8.3460 c=8.3460 alpha=19.58 beta=19.58 gamma=19.58
Element x y z (fractional)
Zn (0.2481, 0.2481, 0.2481)
P (0.4942, 0.4942, 0.4942)
Os (0.0013, 0.0013, 0.0013)
Os (0.7564, 0.7564, 0.7564)

=====

No. 3
The following is a DFT calculation (PBE) of Zn2POs after structural relaxation.

## Properties
The space group is I-4m2.

Unit cell a=4.6291 b=4.6291 c=4.6291 alpha=130.72 beta=130.72 gamma=72.25
Element x y z (fractional)
Zn (0.0000, 0.0000, 0.0000)
Zn (0.2500, 0.7500, 0.5000)
P (0.7500, 0.2500, 0.5000)
Os (0.5000, 0.5000, 0.0000)

=====

No. 4
The following is a DFT calculation (PBE) of Zn2POs after structural relaxation.

## Properties
The space group is R-3m.

Unit cell a=8.6184 b=8.6184 c=8.6184 alpha=18.88 beta=18.88 gamma=18.88
Element x y z (fractional)
Zn (0.7507, 0.7507, 0.7507)
Zn (0.2493, 0.2493, 0.2493)
P (0.0000, 0.0000, 0.0000)
Os (0.5000, 0.5000, 0.5000)

=====

no.,E_form (eV per formula unit)
1,2.02
2,0.60
3,1.12
4,1.28